Record 1
Material: Sc2TlNi
Method: DFT, PBE
State: optimized geometry

## Properties
- Formation enthalpy at 0 K: -0.1 eV per formula unit
- E: -5.2311 eV/atom

Cell: 7.4659 7.4659 6.1252 Å, 52.45 52.45 90.00°
With the nearest neighbours (Å) after each atom.
Element x y z (fractional)
Tl (0.7500, 0.2500, 0.5000)  8 Sc 3.05-3.32, 2 Ni 3.11
Sc (0.8750, 0.8190, 0.7500)  2 Ni 2.49
Sc (0.5690, 0.1250, 0.2500)  2 Ni 2.49
Tl (0.0000, 0.0000, 0.0000)  8 Sc 3.05-3.32, 2 Ni 3.11
Ni (0.5000, 0.5000, 0.0000)  4 Sc 2.49
Ni (0.2500, 0.7500, 0.5000)  4 Sc 2.49
Sc (0.3750, 0.4310, 0.7500)  2 Ni 2.49
Sc (0.1810, 0.6250, 0.2500)  2 Ni 2.49



Record 2
Material: Sc5TlNi
Method: DFT, PBE
State: optimized geometry

## Properties
- Formation enthalpy at 0 K: -0.5 eV per formula unit
- E: -5.7593 eV/atom

Cell: 5.9623 5.9623 10.5736 Å, 74.60 74.60 64.23°
With the nearest neighbours (Å) after each atom.
Element x y z (fractional)
Sc (0.7957, 0.4578, 0.4510)  1 Ni 2.43
Sc (0.4578, 0.7957, 0.9510)  1 Ni 2.43
Ni (0.0000, 0.0000, 0.5000)  6 Sc 2.43-2.65
Sc (0.2043, 0.5422, 0.5490)  1 Ni 2.43
Ni (0.0000, 0.0000, 0.0000)  6 Sc 2.43-2.65
Sc (0.5422, 0.2043, 0.0490)  1 Ni 2.43
Sc (0.9800, 0.0200, 0.2500)  2 Ni 2.65
Sc (0.9594, 0.5955, 0.1384)  1 Ni 2.54
Sc (0.0200, 0.9800, 0.7500)  2 Ni 2.65
Tl (0.5424, 0.4576, 0.7500)  10 Sc 3.03-3.34
Sc (0.4045, 0.0406, 0.3616)  1 Ni 2.54
Tl (0.4576, 0.5424, 0.2500)  10 Sc 3.03-3.34
Sc (0.0406, 0.4045, 0.8616)  1 Ni 2.54
Sc (0.5955, 0.9594, 0.6384)  1 Ni 2.54



Record 3
Material: Sc6TlNi2
Method: DFT, PBE
State: optimized geometry

## Properties
- Formation enthalpy at 0 K: -3.1 eV per formula unit
- E: -6.1150 eV/atom

Cell: 7.8700 7.8700 7.8700 Å, 106.61 109.98 111.87°
With the nearest neighbours (Å) after each atom.
Element x y z (fractional)
Sc (0.1056, 0.2928, 0.8127)  3 Ni 2.77-3.00, 1 Tl 3.09
Sc (0.7861, 0.2335, 0.0196)  1 Ni 2.55
Sc (0.7013, 0.3770, 0.6757)  3 Ni 2.55-2.75
Sc (0.7013, 0.0255, 0.3243)  3 Ni 2.55-2.75
Sc (0.2139, 0.2335, 0.4474)  1 Ni 2.55
Ni (0.5000, 0.6296, 0.1296)  1 Ni 2.44, 2 Sc 2.55
Sc (0.7861, 0.7665, 0.5526)  1 Ni 2.55
Sc (0.4801, 0.2928, 0.1873)  3 Ni 2.77-3.00, 1 Tl 3.09
Sc (0.2139, 0.7665, 0.9804)  1 Ni 2.55
Sc (0.2987, 0.9745, 0.6757)  3 Ni 2.55-2.75
Tl (0.0000, 0.0000, 0.0000)  8 Sc 2.92-3.09, 2 Ni 3.22
Ni (0.3570, 0.0000, 0.3570)  6 Sc 2.55-2.75, 1 Ni 2.58
Tl (0.0000, 0.5000, 0.5000)  12 Sc 3.11-3.36
Ni (0.6430, 0.0000, 0.6430)  6 Sc 2.55-2.75, 1 Ni 2.58
Sc (0.2987, 0.6230, 0.3243)  3 Ni 2.55-2.75
Sc (0.5199, 0.7072, 0.8127)  3 Ni 2.77-3.00, 1 Tl 3.09
Sc (0.8944, 0.7072, 0.1873)  3 Ni 2.77-3.00, 1 Tl 3.09
Ni (0.5000, 0.3704, 0.8704)  1 Ni 2.44, 2 Sc 2.55



Record 4
Material: ScTl2Ni2
Method: DFT, PBE
State: optimized geometry

## Properties
- Formation enthalpy at 0 K: 0.0 eV per formula unit
- Energy above the lowest structure with this stoichiometry: 0 meV/atom
- E: -4.5196 eV/atom

Cell: 6.7697 6.7697 4.0363 Å, 90.00 90.00 90.00°
With the nearest neighbours (Å) after each atom.
Element x y z (fractional)
Tl (0.8240, 0.3240, 0.5000)  6 Ni 2.77-2.89
Ni (0.6259, 0.1259, 0.0000)  1 Ni 2.41, 2 Sc 2.67
Tl (0.1760, 0.6760, 0.5000)  6 Ni 2.77-2.89
Sc (0.5000, 0.5000, 0.0000)  4 Ni 2.67
Tl (0.3240, 0.1760, 0.5000)  6 Ni 2.77-2.89
Ni (0.8741, 0.6259, 0.0000)  1 Ni 2.41, 2 Sc 2.67
Ni (0.1259, 0.3741, 0.0000)  1 Ni 2.41, 2 Sc 2.67
Sc (0.0000, 0.0000, 0.0000)  4 Ni 2.67
Tl (0.6760, 0.8240, 0.5000)  6 Ni 2.77-2.89
Ni (0.3741, 0.8741, 0.0000)  1 Ni 2.41, 2 Sc 2.67



Record 5
Material: ScTl2Ni2
Method: DFT, PBE
State: optimized geometry

## Properties
- Formation enthalpy at 0 K: 0.8 eV per formula unit
- Energy above the lowest structure with this stoichiometry: 152 meV/atom
- E: -4.3672 eV/atom

Cell: 3.8036 3.8036 7.2074 Å, 74.70 74.70 90.00°
With the nearest neighbours (Å) after each atom.
Element x y z (fractional)
Sc (0.0000, 0.0000, 0.0000)  8 Tl 3.11
Ni (0.2500, 0.7500, 0.5000)  4 Tl 2.61, 4 Ni 2.69
Tl (0.3836, 0.3836, 0.2328)  4 Ni 2.61
Tl (0.6164, 0.6164, 0.7672)  4 Ni 2.61
Ni (0.7500, 0.2500, 0.5000)  4 Tl 2.61, 4 Ni 2.69



Record 6
Material: ScTlNi
Method: DFT, PBE
State: optimized geometry

## Properties
- Formation enthalpy at 0 K: -0.5 eV per formula unit
- E: -5.0032 eV/atom

Cell: 4.5066 4.5066 3.2482 Å, 90.00 90.00 120.00°
With the nearest neighbours (Å) after each atom.
Element x y z (fractional)
Sc (0.6667, 0.3333, 0.3333)  6 Ni 3.07, 6 Tl 3.07, 2 Sc 3.25
Tl (0.3333, 0.6667, 0.8328)  3 Ni 2.60
Ni (0.0000, 0.0000, 0.8338)  3 Tl 2.60



Record 7
Material: Sc2TlNi
Method: DFT, PBE
State: optimized geometry

## Properties
- Formation enthalpy at 0 K: -0.9 eV per formula unit
- E: -5.4333 eV/atom

Cell: 8.4522 8.4522 8.4522 Å, 23.80 23.80 23.80°
With the nearest neighbours (Å) after each atom.
Element x y z (fractional)
Sc (0.0182, 0.0182, 0.0182)  3 Ni 2.57
Tl (0.2500, 0.2500, 0.2500)  6 Sc 3.21, 6 Tl 3.49
Ni (0.7500, 0.7500, 0.7500)  6 Sc 2.57
Sc (0.4818, 0.4818, 0.4818)  3 Ni 2.57



Record 8
Material: Sc2TlNi
Method: DFT, PBE
State: optimized geometry

## Properties
- Formation enthalpy at 0 K: -0.2 eV per formula unit
- E: -5.2614 eV/atom

Cell: 9.4049 9.4049 9.4049 Å, 21.61 21.61 21.61°
With the nearest neighbours (Å) after each atom.
Element x y z (fractional)
Tl (0.0000, 0.0000, 0.0000)  2 Sc 3.09
Sc (0.8880, 0.8880, 0.8880)  3 Ni 2.53
Ni (0.5000, 0.5000, 0.5000)  6 Sc 2.53
Sc (0.1120, 0.1120, 0.1120)  3 Ni 2.53



Record 9
Material: ScTlNi
Method: DFT, PBE
State: optimized geometry

## Properties
- Formation enthalpy at 0 K: -0.6 eV per formula unit
- E: -5.0104 eV/atom

Cell: 5.4856 5.4856 3.3721 Å, 72.10 72.10 35.80°
With the nearest neighbours (Å) after each atom.
Element x y z (fractional)
Ni (0.0074, 0.0074, 0.9926)  4 Sc 2.75, 4 Tl 2.87
Tl (0.3461, 0.3461, 0.6539)  4 Ni 2.87, 5 Sc 2.97-3.09
Sc (0.6465, 0.6465, 0.3535)  4 Ni 2.75, 1 Tl 2.97



Record 10
Material: Sc4TlNi
Method: DFT, PBE
State: optimized geometry

## Properties
- Formation enthalpy at 0 K: -0.9 eV per formula unit
- Energy above the lowest structure with this stoichiometry: 0 meV/atom
- E: -5.7225 eV/atom

Cell: 5.8190 6.4323 8.2380 Å, 107.19 110.69 90.00°
With the nearest neighbours (Å) after each atom.
Element x y z (fractional)
Tl (0.1051, 0.2500, 0.0000)  10 Sc 3.06-3.42
Ni (0.0000, 0.5000, 0.5000)  6 Sc 2.43-2.57
Sc (0.7072, 0.4725, 0.1820)  1 Ni 2.52
Sc (0.4746, 0.9725, 0.1820)  1 Ni 2.52
Sc (0.9258, 0.8728, 0.6316)  2 Ni 2.43-2.57
Sc (0.7060, 0.3728, 0.6316)  2 Ni 2.43-2.57
Sc (0.2928, 0.5275, 0.8180)  1 Ni 2.52
Tl (0.8949, 0.7500, 0.0000)  10 Sc 3.06-3.42
Sc (0.5254, 0.0275, 0.8180)  1 Ni 2.52
Sc (0.2940, 0.6272, 0.3684)  2 Ni 2.43-2.57
Sc (0.0742, 0.1272, 0.3684)  2 Ni 2.43-2.57
Ni (0.5000, 0.0000, 0.5000)  6 Sc 2.43-2.57



Record 11
Material: Sc4TlNi
Method: DFT, PBE
State: optimized geometry

## Properties
- Formation enthalpy at 0 K: 2.3 eV per formula unit
- Energy above the lowest structure with this stoichiometry: 529 meV/atom
- E: -5.1934 eV/atom

Cell: 5.7256 5.7256 5.7256 Å, 60.00 60.00 60.00°
With the nearest neighbours (Å) after each atom.
Element x y z (fractional)
Tl (0.7500, 0.7500, 0.7500)  12 Sc 3.36, 4 Ni 3.51
Sc (0.8757, 0.3748, 0.3748)  6 Sc 2.86-2.87
Sc (0.3748, 0.3748, 0.3748)  6 Sc 2.86-2.87
Sc (0.3748, 0.3748, 0.8757)  6 Sc 2.86-2.87
Sc (0.3748, 0.8757, 0.3748)  6 Sc 2.86-2.87
Ni (0.0000, 0.0000, 0.0000)  12 Sc 3.36, 4 Tl 3.51



Record 12
Material: ScTlNi
Method: DFT, PBE
State: optimized geometry

## Properties
- Formation enthalpy at 0 K: -0.5 eV per formula unit
- E: -5.0039 eV/atom

Cell: 4.4320 4.4320 4.4320 Å, 60.00 60.00 60.00°
With the nearest neighbours (Å) after each atom.
Element x y z (fractional)
Tl (0.5000, 0.5000, 0.5000)  4 Ni 2.71
Sc (0.0000, 0.0000, 0.0000)  4 Ni 2.71
Ni (0.7500, 0.7500, 0.7500)  4 Tl 2.71, 4 Sc 2.71



Record 13
Material: ScTlNi
Method: DFT, PBE
State: optimized geometry

## Properties
- Formation enthalpy at 0 K: 0.9 eV per formula unit
- E: -4.5228 eV/atom

Cell: 4.5616 4.5616 4.5616 Å, 60.00 60.00 60.00°
With the nearest neighbours (Å) after each atom.
Element x y z (fractional)
Ni (0.5000, 0.5000, 0.5000)  4 Sc 2.79
Sc (0.7500, 0.7500, 0.7500)  4 Tl 2.79, 4 Ni 2.79
Tl (0.0000, 0.0000, 0.0000)  4 Sc 2.79



Record 14
Material: Sc2TlNi
Method: DFT, PBE
State: optimized geometry

## Properties
- Formation enthalpy at 0 K: -0.3 eV per formula unit
- E: -5.2654 eV/atom

Cell: 4.7493 4.7493 4.7493 Å, 60.00 60.00 60.00°
With the nearest neighbours (Å) after each atom.
Element x y z (fractional)
Sc (0.7500, 0.7500, 0.7500)  4 Ni 2.91, 4 Sc 2.91
Ni (0.5000, 0.5000, 0.5000)  4 Sc 2.91, 4 Tl 2.91
Tl (0.2500, 0.2500, 0.2500)  4 Ni 2.91, 4 Sc 2.91
Sc (0.0000, 0.0000, 0.0000)  4 Tl 2.91, 4 Sc 2.91



Record 15
Material: Sc2TlNi
Method: DFT, PBE
State: optimized geometry

## Properties
- Formation enthalpy at 0 K: -1.0 eV per formula unit
- E: -5.4552 eV/atom

Cell: 4.2830 3.5079 5.7329 Å, 72.12 90.00 90.00°
With the nearest neighbours (Å) after each atom.
Element x y z (fractional)
Sc (0.5000, 0.2951, 0.2865)  1 Ni 2.60
Sc (0.0000, 0.9761, 0.9227)  4 Ni 2.83-2.84, 3 Tl 2.98-3.05
Tl (0.0000, 0.6978, 0.4808)  2 Ni 2.79, 7 Sc 2.96-3.05
Ni (0.5000, 0.5310, 0.8100)  5 Sc 2.60-2.84, 2 Tl 2.79



Record 16
Material: Sc2TlNi
Method: DFT, PBE
State: optimized geometry

## Properties
- Formation enthalpy at 0 K: -0.9 eV per formula unit
- E: -5.4402 eV/atom

Cell: 5.9755 5.9755 5.9755 Å, 148.18 133.63 57.34°
With the nearest neighbours (Å) after each atom.
Element x y z (fractional)
Tl (0.4581, 0.4581, 0.0000)  2 Ni 2.78, 4 Sc 3.02
Sc (0.0480, 0.0480, 0.0000)  2 Ni 2.63
Sc (0.7498, 0.2498, 0.5000)  4 Ni 2.87, 2 Sc 3.16, 2 Tl 3.21
Ni (0.2441, 0.7441, 0.5000)  6 Sc 2.63-2.87, 2 Tl 2.78



Record 17
Material: Sc6TlNi
Method: DFT, PBE
State: optimized geometry

## Properties
- Formation enthalpy at 0 K: 0.7 eV per formula unit
- E: -5.6767 eV/atom

Cell: 6.4477 6.4712 6.7450 Å, 61.59 61.71 60.02°
With the nearest neighbours (Å) after each atom.
Element x y z (fractional)
Sc (0.0216, 0.4225, 0.7619)  1 Ni 2.46
Sc (0.5774, 0.2053, 0.2387)  1 Ni 2.46
Ni (0.0000, 0.0000, 0.0000)  6 Sc 2.46
Sc (0.4226, 0.7947, 0.7613)  1 Ni 2.46
Sc (0.9784, 0.5775, 0.2381)  1 Ni 2.46
Sc (0.7931, 0.0199, 0.7613)  1 Ni 2.46
Sc (0.2069, 0.9801, 0.2387)  1 Ni 2.46
Tl (0.5000, 0.5000, 0.5000)  6 Sc 2.90



Record 18
Material: ScTlNi
Method: DFT, PBE
State: optimized geometry

## Properties
- Formation enthalpy at 0 K: -0.1 eV per formula unit
- E: -4.8498 eV/atom

Cell: 3.7246 3.7246 5.2954 Å, 90.00 90.00 120.00°
With the nearest neighbours (Å) after each atom.
Element x y z (fractional)
Ni (0.0000, 0.0000, 0.0118)  3 Sc 2.56, 3 Tl 2.66
Tl (0.6667, 0.3333, 0.7159)  3 Ni 2.66
Sc (0.3333, 0.6667, 0.2724)  3 Ni 2.56



Record 19
Material: TmScTlNi
Method: DFT, PBE
State: optimized geometry

## Properties
- Formation enthalpy at 0 K: -1.5 eV per formula unit
- Energy above the lowest structure with this stoichiometry: 0 meV/atom
- E: -5.1132 eV/atom

Cell: 3.3538 3.3538 7.4904 Å, 90.00 90.00 90.00°
With the nearest neighbours (Å) after each atom.
Element x y z (fractional)
Sc (0.5000, 0.5000, 0.3646)  4 Ni 2.76
Ni (0.0000, 0.0000, 0.5527)  4 Sc 2.76, 4 Tm 2.92
Tl (0.0000, 0.0000, 0.0871)  4 Sc 3.15, 4 Tm 3.30, 4 Tl 3.35, 1 Ni 3.49
Tm (0.5000, 0.5000, 0.7804)  4 Ni 2.92, 1 Sc 3.11



Record 20
Material: TmScTlNi
Method: DFT, PBE
State: optimized geometry

## Properties
- Formation enthalpy at 0 K: -1.0 eV per formula unit
- Energy above the lowest structure with this stoichiometry: 120 meV/atom
- E: -4.9936 eV/atom

Cell: 4.9363 4.9363 4.9363 Å, 60.00 60.00 60.00°
With the nearest neighbours (Å) after each atom.
Element x y z (fractional)
Tl (0.7500, 0.7500, 0.7500)  4 Sc 3.02, 4 Tm 3.02
Ni (0.2500, 0.2500, 0.2500)  4 Sc 3.02, 4 Tm 3.02
Sc (0.5000, 0.5000, 0.5000)  4 Tl 3.02, 4 Ni 3.02
Tm (0.0000, 0.0000, 0.0000)  4 Tl 3.02, 4 Ni 3.02